Run a
LiZnCu | the Alexandria database | PBE-GGA | relaxed; SG = Imm2; density of states at the Fermi level = 0.74 states/eV per cell
1.0
-1.297 1.944 3.954
1.297 -1.944 3.954
1.297 1.944 -3.954
Li Zn Cu
1 1 1
Cartesian
0.000 0.000 0.000 Li
0.000 0.000 5.322 Zn
0.000 0.000 2.608 Cu



Run b
LiZnCu | the Alexandria database | PBE-GGA | relaxed; SG = Imma; density of states at the Fermi level = 2.44 states/eV per cell
1.0
-2.495 2.521 3.536
2.495 -2.521 3.536
2.495 2.521 -3.536
Li Zn Cu
2 2 2
Cartesian
0.000 1.260 0.856 Li
2.495 1.260 2.680 Li
2.495 0.000 0.000 Zn
0.000 0.000 3.536 Zn
1.248 1.260 -1.768 Cu
1.248 -1.260 1.768 Cu



run b comes first in stability; the runner-up is 12 meV/atom higher.



Run a
LiZnCu | the Alexandria database | PBE-GGA | relaxed; SG = I4mm; density of states at the Fermi level = 0.92 states/eV per cell
1.0
-1.358 1.358 5.541
1.358 -1.358 5.541
1.358 1.358 -5.541
Li Zn Cu
1 1 1
Cartesian
0.000 0.000 0.000 Li
0.000 0.000 7.511 Zn
0.000 0.000 3.722 Cu



Run b
LiZnCu | the Alexandria database | PBE-GGA | relaxed; SG = R-3m; density of states at the Fermi level = 2.21 states/eV per cell
1.0
2.115 1.221 5.782
-2.115 1.221 5.782
0.000 -2.442 5.782
Li Zn Cu
2 2 2
Cartesian
0.000 0.000 2.218 Li
0.000 0.000 15.128 Li
0.000 0.000 7.395 Zn
0.000 0.000 9.951 Zn
0.000 0.000 4.982 Cu
0.000 0.000 12.363 Cu



run a comes first in stability; the runner-up is 102 meV/atom higher.



Run a
LiZnCu | the Alexandria database | PBE-GGA | relaxed; SG = F-43m; density of states at the Fermi level = 1.67 states/eV per cell
1.0
0.000 2.919 2.919
2.919 0.000 2.919
2.919 2.919 0.000
Li Zn Cu
1 1 1
Cartesian
0.000 0.000 0.000 Li
2.919 2.919 2.919 Zn
4.378 4.378 4.378 Cu



Run b
LiZnCu | the Alexandria database | PBE-GGA | relaxed; SG = P3m1; density of states at the Fermi level = 1.89 states/eV per cell
1.0
4.238 0.000 0.000
-2.119 3.670 0.000
0.000 0.000 2.528
Li Zn Cu
1 1 1
Cartesian
0.000 0.000 0.000 Li
2.119 1.223 0.866 Zn
0.000 2.447 1.803 Cu



run b comes first in stability; the runner-up is 216 meV/atom higher.



Run a
Li4Zn3Cu4 | the Alexandria database | PBE-GGA | relaxed; SG = P-1; density of states at the Fermi level = 3.18 states/eV per cell
1.0
2.575 0.000 0.000
0.000 3.927 0.000
1.075 1.938 14.376
Li Zn Cu
4 3 4
Cartesian
0.576 0.972 5.823 Li
1.730 2.923 12.484 Li
1.920 2.942 1.893 Li
3.075 4.892 8.553 Li
0.632 0.985 3.264 Zn
1.825 2.932 7.188 Zn
3.018 4.880 11.112 Zn
0.636 0.979 0.602 Cu
1.744 2.920 9.890 Cu
1.906 2.945 4.487 Cu
3.014 4.886 13.774 Cu



Run b
Li4Zn3Cu4 | the Alexandria database | PBE-GGA | relaxed; SG = Immm; density of states at the Fermi level = 4.49 states/eV per cell
1.0
-1.304 3.879 7.813
1.304 -3.879 7.813
1.304 3.879 -7.813
Li Zn Cu
4 3 4
Cartesian
1.304 -2.401 5.349 Li
0.000 1.478 2.463 Li
1.304 2.401 5.349 Li
0.000 6.280 2.463 Li
1.304 0.000 0.000 Zn
0.000 0.000 6.397 Zn
0.000 0.000 9.228 Zn
1.304 0.000 4.236 Cu
0.000 2.162 0.000 Cu
0.000 5.596 0.000 Cu
0.000 3.879 3.576 Cu



run a comes first in stability; the runner-up is 32 meV/atom higher.



Run a
LiZn8Cu5 | the Alexandria database | PBE-GGA | relaxed; SG = I-4; density of states at the Fermi level = 3.49 states/eV per cell
1.0
-3.938 3.938 3.323
3.938 -3.938 3.323
3.938 3.938 -3.323
Li Zn Cu
1 8 5
Cartesian
0.000 0.000 0.000 Li
5.183 -0.293 0.532 Zn
5.164 2.147 -1.482 Zn
2.692 0.293 0.532 Zn
3.644 -1.245 2.791 Zn
-1.226 1.791 1.841 Zn
2.147 2.712 1.482 Zn
4.231 1.245 2.791 Zn
1.791 1.226 4.805 Zn
2.882 3.243 -0.917 Cu
1.056 0.695 2.406 Cu
4.633 2.882 0.917 Cu
0.000 3.938 1.662 Cu
-0.695 1.056 4.240 Cu



Run b
LiZn8Cu5 | the Alexandria database | PBE-GGA | relaxed; SG = I-4; density of states at the Fermi level = 4.39 states/eV per cell
1.0
-3.533 3.533 4.048
3.533 -3.533 4.048
3.533 3.533 -4.048
Li Zn Cu
1 8 5
Cartesian
0.000 0.000 0.000 Li
2.403 0.734 -0.045 Zn
2.346 3.032 -1.267 Zn
2.799 -1.130 4.093 Zn
1.187 0.501 2.781 Zn
4.034 2.346 1.267 Zn
0.734 4.663 0.045 Zn
-0.501 1.187 5.315 Zn
1.130 2.799 4.003 Zn
4.452 1.423 -1.440 Cu
3.533 0.000 2.024 Cu
1.423 2.615 1.440 Cu
-0.919 2.110 2.608 Cu
2.110 0.919 5.488 Cu



run b comes first in stability; the runner-up is 5 meV/atom higher.



Run a
LiZn2Cu2 | the Alexandria database | PBE-GGA | relaxed; SG = P4/mbm; density of states at the Fermi level = 2.71 states/eV per cell
1.0
7.226 0.000 0.000
0.000 7.226 0.000
0.000 0.000 2.718
Li Zn Cu
2 4 4
Cartesian
0.000 0.000 0.000 Li
3.613 3.613 0.000 Li
0.953 2.660 0.000 Zn
2.660 6.274 0.000 Zn
4.566 0.953 0.000 Zn
6.274 4.566 0.000 Zn
1.204 4.817 1.359 Cu
2.409 1.204 1.359 Cu
4.817 6.022 1.359 Cu
6.022 2.409 1.359 Cu



Run b
LiZn2Cu2 | the Alexandria database | PBE-GGA | relaxed; SG = Cmcm; density of states at the Fermi level = 1.46 states/eV per cell
1.0
2.026 -7.834 0.000
2.026 7.834 0.000
0.000 0.000 4.087
Li Zn Cu
2 4 4
Cartesian
2.026 5.488 3.065 Li
2.026 -5.488 1.022 Li
2.026 7.028 1.022 Zn
2.026 3.883 1.022 Zn
2.026 -3.883 3.065 Zn
2.026 -7.028 3.065 Zn
2.026 2.331 3.065 Cu
2.026 0.772 1.022 Cu
2.026 -0.772 3.065 Cu
2.026 -2.331 1.022 Cu



Run c
LiZn2Cu2 | the Alexandria database | PBE-GGA | relaxed; SG = C2/m; density of states at the Fermi level = 1.54 states/eV per cell
1.0
4.108 -1.899 0.000
4.108 1.899 0.000
-4.040 0.000 4.191
Li Zn Cu
1 2 2
Cartesian
0.000 0.000 0.000 Li
2.521 0.000 0.873 Zn
1.655 0.000 3.318 Zn
-0.786 0.000 2.531 Cu
4.962 0.000 1.660 Cu



Run d
LiZn2Cu2 | the Alexandria database | PBE-GGA | relaxed; SG = I4/mmm; density of states at the Fermi level = 1.67 states/eV per cell
1.0
-1.857 1.857 5.732
1.857 -1.857 5.732
1.857 1.857 -5.732
Li Zn Cu
1 2 2
Cartesian
0.000 0.000 0.000 Li
1.857 0.000 2.866 Zn
0.000 1.857 2.866 Zn
0.000 0.000 4.557 Cu
0.000 0.000 6.906 Cu



run b comes first in stability; the runner-up is 7 meV/atom higher.



Run a
LiZn2Cu2 | the Alexandria database | PBE-GGA | relaxed; SG = I4/mmm; density of states at the Fermi level = 1.51 states/eV per cell
1.0
-1.787 1.787 5.977
1.787 -1.787 5.977
1.787 1.787 -5.977
Li Zn Cu
1 2 2
Cartesian
0.000 0.000 0.000 Li
0.000 0.000 4.743 Zn
0.000 0.000 7.211 Zn
1.787 0.000 2.989 Cu
0.000 1.787 2.989 Cu



Run b
LiZn2Cu2 | the Alexandria database | PBE-GGA | relaxed; SG = P4/mbm; density of states at the Fermi level = 3.03 states/eV per cell
1.0
7.236 0.000 0.000
0.000 7.236 0.000
0.000 0.000 2.701
Li Zn Cu
2 4 4
Cartesian
0.000 0.000 0.000 Li
3.618 3.618 0.000 Li
1.244 2.374 1.350 Zn
2.374 5.992 1.350 Zn
4.862 1.244 1.350 Zn
5.992 4.862 1.350 Zn
0.908 4.526 0.000 Cu
2.710 0.908 0.000 Cu
4.526 6.328 0.000 Cu
6.328 2.710 0.000 Cu



run b comes first in stability; the runner-up is 121 meV/atom higher.



Run a
LiZn4Cu | the Alexandria database | PBE-GGA | relaxed; SG = C2/m; density of states at the Fermi level = 1.07 states/eV per cell
1.0
4.534 -2.125 0.000
4.534 2.125 0.000
-2.994 0.000 4.334
Li Zn Cu
1 4 1
Cartesian
0.000 0.000 0.000 Li
1.002 0.000 2.850 Zn
2.590 0.000 0.724 Zn
3.483 0.000 3.610 Zn
5.071 0.000 1.484 Zn
-1.497 0.000 2.167 Cu



Run b
LiZn4Cu | the Alexandria database | PBE-GGA | relaxed; SG = F-43m; density of states at the Fermi level = 0.95 states/eV per cell
1.0
0.000 3.539 3.539
3.539 0.000 3.539
3.539 3.539 0.000
Li Zn Cu
1 4 1
Cartesian
0.000 0.000 0.000 Li
4.423 2.656 2.656 Zn
2.656 4.423 2.656 Zn
2.656 2.656 4.423 Zn
4.423 4.423 4.423 Zn
1.770 1.770 1.770 Cu



Run c
LiZn4Cu | the Alexandria database | PBE-GGA | relaxed; SG = Pm; density of states at the Fermi level = 1.51 states/eV per cell
1.0
2.701 0.000 0.000
0.000 4.359 0.000
-1.322 0.000 7.121
Li Zn Cu
1 4 1
Cartesian
0.000 0.000 0.000 Li
0.013 0.000 4.709 Zn
1.343 2.179 0.859 Zn
1.354 0.000 2.375 Zn
1.354 2.179 5.557 Zn
-0.007 2.179 3.164 Cu



run c comes first in stability; the runner-up is 9 meV/atom higher.



Run a
Li5ZnCu | the Alexandria database | PBE-GGA | relaxed; SG = C2/c; density of states at the Fermi level = 4.87 states/eV per cell
1.0
3.627 -3.301 0.000
3.627 3.301 0.000
-0.788 0.000 9.654
Li Zn Cu
10 2 2
Cartesian
0.784 0.924 5.704 Li
0.850 1.069 8.487 Li
3.036 2.191 7.241 Li
1.179 -0.924 0.877 Li
1.244 -1.069 3.660 Li
5.222 1.069 5.994 Li
5.287 0.924 8.777 Li
3.430 -2.191 2.414 Li
5.616 -1.069 1.167 Li
5.681 -0.924 3.950 Li
3.430 0.436 2.414 Zn
3.036 -0.436 7.241 Zn
3.627 0.000 0.000 Cu
3.233 0.000 4.827 Cu



Run b
Li5ZnCu | the Alexandria database | PBE-GGA | relaxed; SG = C2/c; density of states at the Fermi level = 5.00 states/eV per cell
1.0
5.011 -4.929 0.000
5.011 4.929 0.000
-1.424 0.000 4.627
Li Zn Cu
10 2 2
Cartesian
3.374 1.892 0.751 Li
1.657 0.725 2.649 Li
3.943 2.642 3.470 Li
2.369 -0.725 0.336 Li
5.936 1.892 1.562 Li
2.662 -1.892 3.064 Li
6.229 0.725 4.291 Li
4.655 -2.642 1.157 Li
6.941 -0.725 1.977 Li
5.224 -1.892 3.876 Li
4.655 4.323 1.157 Zn
3.943 -4.323 3.470 Zn
5.011 0.000 0.000 Cu
4.299 0.000 2.313 Cu



run b comes first in stability; the runner-up is 16 meV/atom higher.



Run a
LiZn2Cu6 | the Alexandria database | PBE-GGA | relaxed; SG = C2/m; density of states at the Fermi level = 3.22 states/eV per cell
1.0
4.236 -1.936 0.000
4.236 1.936 0.000
-3.390 0.000 6.863
Li Zn Cu
1 2 6
Cartesian
0.000 0.000 0.000 Li
1.312 0.000 3.021 Zn
3.771 0.000 3.842 Zn
-2.243 0.000 4.618 Cu
2.428 0.000 0.743 Cu
0.198 0.000 5.370 Cu
4.886 0.000 1.493 Cu
2.655 0.000 6.121 Cu
7.326 0.000 2.245 Cu



Run b
LiZn2Cu6 | the Alexandria database | PBE-GGA | relaxed; SG = C2/m; density of states at the Fermi level = 3.67 states/eV per cell
1.0
3.731 -2.561 0.000
3.731 2.561 0.000
-2.043 0.000 6.171
Li Zn Cu
1 2 6
Cartesian
0.000 0.000 0.000 Li
0.572 0.000 5.651 Zn
4.847 0.000 0.520 Zn
2.725 1.218 1.842 Cu
0.788 0.000 3.045 Cu
2.694 1.218 4.329 Cu
2.725 -1.218 1.842 Cu
4.631 0.000 3.126 Cu
2.694 -1.218 4.329 Cu



run a comes first in stability; the runner-up is 38 meV/atom higher.